First-principles (PBE) data for a relaxed Ce4Ga5Br2 crystal, as listed in Alexandria.

POSCAR file:
```
Ce4Ga5Br2
1.0
7.8180 -8.3680 0.0000
7.8180 8.3680 0.0000
0.0000 0.0000 4.2284
Ga Br Ce
10 4 8
Direct
0.4634 0.1007 0.0000 Ga
0.8993 0.5366 0.0000 Ga
0.1007 0.4634 0.0000 Ga
0.5366 0.8993 0.0000 Ga
0.4207 0.4207 0.5000 Ga
0.5793 0.5793 0.5000 Ga
0.4869 0.2178 0.5000 Ga
0.5131 0.7822 0.5000 Ga
0.7822 0.5131 0.5000 Ga
0.2178 0.4869 0.5000 Ga
0.1776 0.8224 0.0000 Br
0.8758 0.8758 0.5000 Br
0.8224 0.1776 0.0000 Br
0.1242 0.1242 0.5000 Br
0.6755 0.0413 0.5000 Ce
0.2693 0.2693 0.0000 Ce
0.7307 0.7307 0.0000 Ce
0.6311 0.3689 0.0000 Ce
0.3689 0.6311 0.0000 Ce
0.0413 0.6755 0.5000 Ce
0.9587 0.3245 0.5000 Ce
0.3245 0.9587 0.5000 Ce
```

ΔE_f (raw)   -922 kJ/mol of formula units
Space group   Cmmm (65)
M_tot   3.8 μB per formula unit